Entry 1:
# CaScRu2, optimized geometry, DFT PBE
data_CaScRu2
_cell_length_a 4.656
_cell_length_b 4.656
_cell_length_c 3.317
_cell_angle_alpha 90.00
_cell_angle_beta 90.00
_cell_angle_gamma 90.00
_space_group_name_H-M_alt 'P 1'
_space_group_IT_number 1
_space_group_name_Hall 'P 1'
loop_
_atom_site_label
_atom_site_fract_x
_atom_site_fract_y
_atom_site_fract_z
_atom_site_occupancy
Ca1 0.000 0.000 0.000 1
Sc1 0.500 0.500 0.000 1
Ru1 0.000 0.500 0.500 1
Ru2 0.500 0.000 0.500 1
# - Magnetization: 0.00 μB/atom
# - ΔE_f: 0.0800 eV/atom

Entry 2:
# CaScRu2, optimized geometry, DFT PBE
data_CaScRu2
_cell_length_a 5.258
_cell_length_b 5.258
_cell_length_c 2.983
_cell_angle_alpha 102.64
_cell_angle_beta 102.64
_cell_angle_gamma 110.09
_space_group_name_H-M_alt 'P 1'
_space_group_IT_number 1
_space_group_name_Hall 'P 1'
loop_
_atom_site_label
_atom_site_fract_x
_atom_site_fract_y
_atom_site_fract_z
_atom_site_occupancy
Ca1 0.000 0.000 0.000 1
Sc1 0.500 0.500 0.000 1
Ru1 0.000 0.500 0.500 1
Ru2 0.500 0.000 0.500 1
# - Magnetization: 0.00 μB/atom
# - ΔE_f: 0.1849 eV/atom

Entry 3:
# Ca2Sc2Ru, optimized geometry, DFT PBE
data_Ca2Sc2Ru
_cell_length_a 6.786
_cell_length_b 6.786
_cell_length_c 5.854
_cell_angle_alpha 90.00
_cell_angle_beta 90.00
_cell_angle_gamma 90.00
_space_group_name_H-M_alt 'P 1'
_space_group_IT_number 1
_space_group_name_Hall 'P 1'
loop_
_atom_site_label
_atom_site_fract_x
_atom_site_fract_y
_atom_site_fract_z
_atom_site_occupancy
Ca1 0.185 0.315 0.000 1
Ca2 0.315 0.815 0.000 1
Ca3 0.685 0.185 0.000 1
Ca4 0.815 0.685 0.000 1
Sc1 0.166 0.666 0.500 1
Sc2 0.334 0.166 0.500 1
Sc3 0.666 0.834 0.500 1
Sc4 0.834 0.334 0.500 1
Ru1 0.000 0.000 0.500 1
Ru2 0.500 0.500 0.500 1
# - Magnetization: 0.00 μB/atom
# - ΔE to the lowest computed polymorph: 0.000 eV per atom
# - ΔE_f: 0.0270 eV/atom

Entry 4:
# CaScRu, optimized geometry, DFT PBE
data_CaScRu
_cell_length_a 4.650
_cell_length_b 4.650
_cell_length_c 4.650
_cell_angle_alpha 60.00
_cell_angle_beta 60.00
_cell_angle_gamma 60.00
_space_group_name_H-M_alt 'P 1'
_space_group_IT_number 1
_space_group_name_Hall 'P 1'
loop_
_atom_site_label
_atom_site_fract_x
_atom_site_fract_y
_atom_site_fract_z
_atom_site_occupancy
Ca1 0.000 0.000 0.000 1
Sc1 0.500 0.500 0.500 1
Ru1 0.750 0.750 0.750 1
# - Magnetization: 0.00 μB/atom
# - ΔE to the lowest computed polymorph: 0.351 eV per atom
# - ΔE_f: 0.1041 eV/atom

Entry 5:
# CaScRu4, optimized geometry, DFT PBE
data_CaScRu4
_cell_length_a 5.268
_cell_length_b 5.268
_cell_length_c 5.268
_cell_angle_alpha 60.00
_cell_angle_beta 60.00
_cell_angle_gamma 60.00
_space_group_name_H-M_alt 'P 1'
_space_group_IT_number 1
_space_group_name_Hall 'P 1'
loop_
_atom_site_label
_atom_site_fract_x
_atom_site_fract_y
_atom_site_fract_z
_atom_site_occupancy
Ca1 0.000 0.000 0.000 1
Sc1 0.250 0.250 0.250 1
Ru1 0.126 0.625 0.625 1
Ru2 0.625 0.126 0.625 1
Ru3 0.625 0.625 0.126 1
Ru4 0.625 0.625 0.625 1
# - Magnetization: 0.00 μB/atom
# - ΔE_f: -0.0858 eV/atom

Entry 6:
# Ca2ScRu, optimized geometry, DFT PBE
data_Ca2ScRu
_cell_length_a 3.522
_cell_length_b 4.804
_cell_length_c 5.952
_cell_angle_alpha 90.00
_cell_angle_beta 104.78
_cell_angle_gamma 90.00
_space_group_name_H-M_alt 'P 1'
_space_group_IT_number 1
_space_group_name_Hall 'P 1'
loop_
_atom_site_label
_atom_site_fract_x
_atom_site_fract_y
_atom_site_fract_z
_atom_site_occupancy
Ca1 0.108 0.000 0.279 1
Ca2 0.892 0.000 0.721 1
Sc1 0.500 0.500 0.000 1
Ru1 0.500 0.500 0.500 1
# - Magnetization: 0.00 μB/atom
# - ΔE to the lowest computed polymorph: 0.449 eV per atom
# - ΔE_f: 0.3413 eV/atom

Entry 7:
# CaScRu, optimized geometry, DFT PBE
data_CaScRu
_cell_length_a 3.278
_cell_length_b 4.451
_cell_length_c 10.399
_cell_angle_alpha 90.00
_cell_angle_beta 98.99
_cell_angle_gamma 90.00
_space_group_name_H-M_alt 'P 1'
_space_group_IT_number 1
_space_group_name_Hall 'P 1'
loop_
_atom_site_label
_atom_site_fract_x
_atom_site_fract_y
_atom_site_fract_z
_atom_site_occupancy
Ca1 0.177 0.250 0.353 1
Ca2 0.823 0.750 0.647 1
Sc1 0.052 0.750 0.105 1
Sc2 0.948 0.250 0.895 1
Ru1 0.445 0.750 0.889 1
Ru2 0.555 0.250 0.111 1
# - Magnetization: 0.00 μB/atom
# - ΔE to the lowest computed polymorph: 0.060 eV per atom
# - ΔE_f: -0.1867 eV/atom

Entry 8:
# CaSc2Ru2, optimized geometry, DFT PBE
data_CaSc2Ru2
_cell_length_a 6.398
_cell_length_b 6.398
_cell_length_c 6.398
_cell_angle_alpha 139.89
_cell_angle_beta 139.89
_cell_angle_gamma 58.02
_space_group_name_H-M_alt 'P 1'
_space_group_IT_number 1
_space_group_name_Hall 'P 1'
loop_
_atom_site_label
_atom_site_fract_x
_atom_site_fract_y
_atom_site_fract_z
_atom_site_occupancy
Ca1 0.000 0.000 0.000 1
Sc1 0.250 0.750 0.500 1
Sc2 0.750 0.250 0.500 1
Ru1 0.387 0.387 0.000 1
Ru2 0.613 0.613 0.000 1
# - Magnetization: 0.00 μB/atom
# - ΔE to the lowest computed polymorph: 0.131 eV per atom
# - ΔE_f: -0.1318 eV/atom